## V2GePbO8 (GGA+U)

Data for an optimized crystal structure of V2GePbO8.

For the density of states at the Fermi level, the calculation gives 0.0000 states/eV per atom. The total energy comes out at -6.916 eV per atom.

The structure belongs to space group P-3 (No. 147); the cell edges are 5.4145, 5.4145 and 6.8820 Å and the angles 90.00°, 90.00° and 120.00°. The inequivalent atoms are V at (0.3333, 0.6667, 0.2399), Ge at (0.0000, 0.0000, 0.0000), Pb at (0.0000, 0.0000, 0.5000), O at (0.0957, 0.3119, 0.1686) and O at (0.3333, 0.6667, 0.4830).